No. 1
PBE Np2InPt2, optimized geometry; SG = No. 127; electronic total energy = -86.16 eV/cell; formation energy from the elements = -476 meV/atom
1.0
7.737 0.000 0.000
0.000 7.737 0.000
0.000 0.000 3.719
In Pt Np
2 4 4
Cartesian
0.000 0.000 0.000
3.869 3.869 0.000
2.831 1.038 0.000
4.907 6.699 0.000
1.038 4.907 0.000
6.699 2.831 0.000
1.297 2.572 1.859
5.166 1.297 1.859
6.440 5.166 1.859
2.572 6.440 1.859

No. 2
PBE NpIn2Pt9, optimized geometry; SG = No. 123; ΔE to the lowest computed polymorph = 0 meV per atom; electronic total energy = -78.48 eV/cell; formation energy from the elements = -474 meV/atom
1.0
4.085 0.000 0.000
0.000 4.085 0.000
0.000 0.000 12.225
Np Pt In
1 9 2
Cartesian
0.000 0.000 0.000
0.000 2.043 6.113
0.000 2.043 10.180
2.043 0.000 10.180
2.043 2.043 8.125
2.043 0.000 2.045
2.043 0.000 6.113
2.043 2.043 4.100
2.043 2.043 0.000
0.000 2.043 2.045
0.000 0.000 4.138
0.000 0.000 8.087

No. 3
PBE Np2In8Pt, optimized geometry; SG = No. 123; electronic total energy = -55.42 eV/cell; formation energy from the elements = -145 meV/atom
1.0
4.681 0.000 0.000
0.000 4.681 0.000
0.000 0.000 12.183
Pt Np In
1 2 8
Cartesian
0.000 0.000 0.000
0.000 0.000 8.419
0.000 0.000 3.763
2.340 2.340 8.395
2.340 0.000 1.543
2.340 0.000 6.091
0.000 2.340 1.543
2.340 2.340 3.788
2.340 0.000 10.640
0.000 2.340 10.640
0.000 2.340 6.091

No. 4
PBE Np2InPt9, optimized geometry; SG = No. 123; electronic total energy = -89.48 eV/cell; formation energy from the elements = -541 meV/atom
1.0
-3.349 2.152 1.079
0.231 -1.552 3.814
7.158 9.434 3.406
Pt Np In
9 2 1
Cartesian
-0.496 2.629 1.100
3.239 6.623 4.729
4.305 8.956 3.385
1.294 0.777 2.468
1.905 5.793 2.242
0.801 3.410 3.569
6.095 7.104 4.752
3.695 3.941 3.610
-1.559 0.300 2.446
4.794 6.318 2.281
2.364 3.116 1.125
0.000 0.000 0.000

No. 5
PBE NpIn3Pt12, optimized geometry; SG = No. 123; electronic total energy = -100.82 eV/cell; formation energy from the elements = -448 meV/atom
1.0
-1.133 3.097 2.395
0.705 -2.292 3.297
15.375 5.311 0.407
Pt In Np
12 3 1
Cartesian
6.151 0.857 1.802
11.276 4.372 3.150
13.786 3.495 2.004
-0.214 0.403 2.846
5.232 3.552 1.351
9.928 2.162 1.902
12.867 6.189 1.553
1.374 2.219 1.249
3.670 1.745 2.949
7.473 3.058 3.049
9.009 4.857 1.451
2.293 -0.475 1.700
11.444 3.954 0.303
3.930 1.358 0.104
7.687 2.656 0.203
0.000 0.000 0.000

No. 6
PBE Np2InPtRh5, optimized geometry; SG = No. 140; electronic total energy = -144.64 eV/cell; formation energy from the elements = -100 meV/atom
1.0
7.030 0.000 0.000
0.000 7.030 0.000
-3.515 -3.515 6.441
Rh In Np Pt
10 2 4 2
Cartesian
5.136 5.409 1.854
1.621 5.136 1.854
5.409 1.894 1.854
-1.621 -1.894 4.587
1.621 1.894 4.587
1.894 -1.621 4.587
0.000 0.000 0.000
-1.894 1.621 4.587
3.515 3.515 0.000
1.894 1.621 1.854
3.515 3.515 3.221
0.000 0.000 3.221
2.680 6.195 0.000
0.835 2.680 0.000
4.350 0.835 0.000
6.195 4.350 0.000
0.000 3.515 3.221
3.515 0.000 3.221

No. 7
PBE NpInPtRh, optimized geometry; SG = No. 216; electronic total energy = -30.74 eV/cell; formation energy from the elements = -418 meV/atom
1.0
-1.808 0.007 -4.424
-0.312 -4.085 -2.460
-4.275 -1.965 -0.837
Pt Np Rh In
1 1 1 1
Cartesian
-1.599 -1.511 -1.930
0.000 0.000 0.000
-4.796 -4.532 -5.791
-3.197 -3.021 -3.861

No. 8
PBE Np2InPtRh4, optimized geometry; SG = No. 63; electronic total energy = -131.78 eV/cell; formation energy from the elements = -228 meV/atom
1.0
-1.469 2.217 -2.950
-1.859 -5.554 -0.574
-11.054 2.905 7.687
Rh Np In Pt
8 4 2 2
Cartesian
-10.699 -1.951 3.862
-2.931 -2.899 -0.719
-11.451 2.467 4.883
0.000 0.000 0.000
-8.073 1.580 2.534
-5.527 1.453 3.844
-3.682 1.519 0.301
-6.308 -2.012 1.630
-8.289 -1.439 3.046
-2.430 0.044 -1.430
-11.951 -0.476 5.593
-6.093 1.007 1.117
-8.932 1.078 5.258
-5.449 -1.510 -1.095
-10.596 0.593 3.049
-3.785 -1.025 1.115

No. 9
PBE Np2InSi4Pt3, optimized geometry; SG = No. 115; electronic total energy = -74.01 eV/cell; E_form (uncorrected) = -12.87 kcal/mol of atoms
1.0
4.211 0.000 0.000
0.000 4.211 0.000
0.000 0.000 10.313
Pt Np Si In
3 2 4 1
Cartesian
0.000 0.000 5.156
0.000 2.106 1.204
2.106 0.000 9.109
2.106 0.000 2.476
0.000 2.106 7.837
0.000 2.106 3.574
0.000 0.000 0.000
2.106 2.106 0.000
2.106 0.000 6.739
2.106 2.106 5.156

No. 10
PBE Np2InSi3Pt4, optimized geometry; SG = No. 115; electronic total energy = -75.26 eV/cell; E_form (uncorrected) = -14.32 kcal/mol of atoms
1.0
4.131 0.000 0.000
0.000 4.131 0.000
0.000 0.000 10.869
Si Pt In Np
3 4 1 2
Cartesian
0.000 2.066 1.374
2.066 0.000 9.495
0.000 0.000 5.435
0.000 2.066 3.730
2.066 2.066 0.000
0.000 0.000 0.000
2.066 0.000 7.139
2.066 2.066 5.435
0.000 2.066 8.254
2.066 0.000 2.616

No. 11
PBE NpIn2Si2Pt7, optimized geometry; SG = No. 12; electronic total energy = -78.41 eV/cell; E_form (uncorrected) = -13.18 kcal/mol of atoms
1.0
-1.916 -0.714 3.397
1.667 -3.628 0.178
11.689 3.523 7.376
Np Pt In Si
1 7 2 2
Cartesian
0.000 0.000 0.000
0.667 -1.666 4.650
-0.124 -2.171 1.787
2.467 -3.118 3.047
6.965 -0.909 6.088
4.475 0.091 4.862
10.773 0.847 6.300
8.973 2.299 7.903
4.159 -2.174 6.525
7.281 1.355 4.425
2.691 -0.782 3.664
8.749 -0.036 7.286

No. 12
PBE PuNpIn, optimized geometry; SG = No. 107; ΔE to the lowest computed polymorph = 78 meV per atom; electronic total energy = -29.70 eV/cell; formation energy from the elements = 105 meV/atom
1.0
3.384 0.000 0.000
0.000 3.384 0.000
-1.692 -1.692 5.414
Pu In Np
1 1 1
Cartesian
0.000 0.000 3.149
1.692 1.692 5.410
1.692 1.692 2.268

No. 13
PBE PuNpIn4, optimized geometry; SG = No. 216; electronic total energy = -38.14 eV/cell; formation energy from the elements = 15 meV/atom
1.0
-3.288 -4.811 1.440
-0.910 -4.335 -4.050
2.642 -5.346 0.681
In Pu Np
4 1 1
Cartesian
-0.518 -6.890 0.820
0.671 -6.652 -1.926
-0.973 -9.058 -1.206
-2.294 -6.384 -1.546
-0.389 -3.623 -0.482
0.000 0.000 0.000

No. 14
PBE PuNpIn, optimized geometry; SG = No. 12; ΔE to the lowest computed polymorph = 0 meV per atom; electronic total energy = -59.86 eV/cell; formation energy from the elements = 26 meV/atom
1.0
3.870 0.000 0.000
-1.935 5.260 -1.740
0.000 -7.364 9.140
Pu Np In
2 2 2
Cartesian
1.935 3.829 -0.441
0.000 -5.933 7.841
0.000 -2.208 6.200
1.935 0.104 1.200
1.935 -2.536 3.531
0.000 0.433 3.869

No. 15
PBE Pu2NpIn3Te6, optimized geometry; SG = No. 12; electronic total energy = -76.29 eV/cell; E_form (uncorrected) = -14.65 kcal/mol of atoms
1.0
7.711 -0.002 0.000
-3.855 6.678 0.000
-1.286 -2.226 8.103
Te Pu Np In
6 2 1 3
Cartesian
2.584 4.475 1.783
0.027 4.452 6.330
3.842 2.248 6.330
-1.272 2.202 1.773
-0.014 -0.025 6.320
2.543 -0.001 1.773
0.002 4.450 0.000
3.854 2.226 0.000
0.000 0.000 0.000
1.285 2.225 4.052
5.132 0.003 4.052
-2.562 4.447 4.052

No. 16
PBE Rb3Np2InS6, optimized geometry; SG = No. 12; electronic total energy = -70.50 eV/cell; E_form (uncorrected) = -27.31 kcal/mol of atoms
1.0
-4.175 1.958 5.669
-2.802 -4.186 -5.294
4.481 -5.452 3.617
S Rb Np In
6 3 2 1
Cartesian
-0.630 -2.752 -1.241
-1.140 -0.472 2.826
1.507 -5.111 3.053
-1.866 -4.928 5.233
-1.357 -7.207 1.165
-4.004 -2.569 0.939
-1.723 -1.714 5.789
-0.774 -5.966 -1.797
-1.248 -3.840 1.996
-3.258 -2.145 -1.652
-3.719 -0.083 2.027
0.000 0.000 0.000

No. 17
PBE Rb3Np3InS8, optimized geometry; SG = No. 166; electronic total energy = -95.89 eV/cell; E_form (uncorrected) = -28.31 kcal/mol of atoms
1.0
8.117 0.000 0.000
-4.059 7.029 -0.026
0.000 -4.657 7.773
S Np Rb In
8 3 3 1
Cartesian
6.095 -1.167 2.452
4.058 2.360 2.439
2.037 3.539 5.295
2.022 -1.167 2.452
-2.037 3.539 5.295
0.000 0.012 5.308
4.059 0.020 5.338
0.000 2.352 2.409
4.059 -2.329 3.886
-2.029 1.186 3.873
2.029 1.186 3.874
0.000 0.000 0.000
-2.029 3.515 -0.013
2.029 3.515 -0.013
0.000 -2.329 3.886

No. 18
PBE Rb4Np3InS8, optimized geometry; SG = No. 166; electronic total energy = -98.04 eV/cell; E_form (uncorrected) = -28.24 kcal/mol of atoms
1.0
8.330 0.000 0.000
0.000 8.972 0.437
-4.165 -4.154 5.897
S Np In Rb
8 3 1 4
Cartesian
4.165 4.278 3.013
0.000 4.221 3.071
6.178 2.604 0.413
-2.013 2.214 5.922
2.013 2.214 5.922
4.165 0.597 3.263
2.152 2.604 0.413
0.000 0.540 3.321
2.082 2.409 3.167
-2.082 2.409 3.167
4.165 4.486 0.219
0.000 4.486 0.219
4.165 0.000 0.000
0.000 0.000 0.000
-2.082 -2.077 2.949
2.082 -2.077 2.949

No. 19
PBE Rb2NpInS4, optimized geometry; SG = No. 74; electronic total energy = -84.91 eV/cell; E_form (uncorrected) = -24.02 kcal/mol of atoms
1.0
8.593 -0.010 0.044
-0.016 8.590 0.041
-4.150 -4.153 6.021
S In Np Rb
8 2 2 4
Cartesian
2.653 2.221 5.865
4.421 3.991 3.298
-0.012 4.048 2.785
-2.328 2.215 5.796
1.775 2.206 0.242
0.006 0.436 2.808
4.439 0.379 3.322
6.756 2.212 0.310
4.444 -4.163 6.065
2.214 2.214 3.053
-0.008 4.295 0.021
6.510 2.208 3.075
4.289 4.290 0.043
-2.075 -2.076 3.011
2.222 -2.082 3.033
4.297 -0.005 0.022

No. 20
PBE Rb2NpInS5, optimized geometry; SG = No. 36; electronic total energy = -95.03 eV/cell; E_form (uncorrected) = -23.74 kcal/mol of atoms
1.0
4.086 0.000 0.000
-2.043 9.537 0.000
0.000 0.000 14.516
S Rb Np In
10 4 2 2
Cartesian
2.043 0.040 11.490
0.000 6.418 0.067
2.043 3.780 13.104
0.000 1.255 0.567
2.043 4.052 2.026
0.000 5.485 9.284
0.000 5.757 5.845
2.043 3.119 7.325
2.043 8.282 7.826
0.000 9.497 4.232
0.000 2.000 9.791
2.043 7.538 2.533
2.043 7.033 11.842
0.000 2.504 4.583
2.043 5.535 7.625
0.000 4.003 0.367
0.000 8.316 6.256
2.043 1.221 13.514

No. 21
PBE Rb2Np2InS6, optimized geometry; SG = No. 12; electronic total energy = -68.22 eV/cell; E_form (uncorrected) = -27.03 kcal/mol of atoms
1.0
6.969 -0.034 0.088
-3.474 6.042 0.088
-1.224 -2.104 7.779
Np S In Rb
2 6 1 2
Cartesian
-0.602 2.963 3.978
2.873 0.941 3.978
1.718 -1.102 5.367
1.721 2.958 5.437
0.550 0.946 2.518
4.078 2.955 2.589
0.554 5.006 2.589
-1.807 0.948 5.367
-0.612 -1.052 3.889
5.254 0.964 0.088
-1.759 5.044 0.088

Number 1: calculated volume 222.6 Å³ per cell, Fermi-level density of states 36.5 states/eV/cell. Number 2: calculated volume 204.0 Å³ per cell, Fermi-level density of states 16.4 states/eV/cell. Number 3: calculated volume 266.9 Å³ per cell, Fermi-level density of states 24.8 states/eV/cell. Number 4: calculated volume 209.6 Å³ per cell, Fermi-level density of states 28.0 states/eV/cell. Number 5: calculated volume 270.4 Å³ per cell, Fermi-level density of states 21.8 states/eV/cell. Number 6: calculated volume 318.4 Å³ per cell, Fermi-level density of states 21.1 states/eV/cell. Number 7: calculated volume 77.2 Å³ per cell, Fermi-level density of states 7.0 states/eV/cell. Number 8: calculated volume 303.0 Å³ per cell, Fermi-level density of states 36.5 states/eV/cell. Number 9: calculated volume 182.9 Å³ per cell, Fermi-level density of states 20.2 states/eV/cell. Number 10: calculated volume 185.5 Å³ per cell, Fermi-level density of states 20.6 states/eV/cell. Number 11: calculated volume 223.8 Å³ per cell, Fermi-level density of states 11.4 states/eV/cell. Number 12: calculated volume 62.0 Å³ per cell, Fermi-level density of states 5.9 states/eV/cell. Number 13: calculated volume 152.9 Å³ per cell, Fermi-level density of states 15.7 states/eV/cell. Number 14: calculated volume 136.5 Å³ per cell, Fermi-level density of states 13.1 states/eV/cell. Number 15: calculated volume 417.2 Å³ per cell, Fermi-level density of states 37.4 states/eV/cell. Number 16: calculated volume 350.0 Å³ per cell, Fermi-level density of states 18.0 states/eV/cell. Number 17: calculated volume 442.5 Å³ per cell, Fermi-level density of states 28.0 states/eV/cell. Number 18: calculated volume 455.9 Å³ per cell, Fermi-level density of states 31.1 states/eV/cell. Number 19: calculated volume 447.5 Å³ per cell, Fermi-level density of states 16.4 states/eV/cell. Number 20: calculated volume 565.7 Å³ per cell, Fermi-level density of states 10.1 states/eV/cell. Number 21: calculated volume 329.2 Å³ per cell, Fermi-level density of states 16.4 states/eV/cell.